[1]
A relaxed LiMg3Ga12 crystal, computed with PBE-GGA.

- spin magnetization (μB/cell) = 0.0
- ρ (g/cm³) = 5.216
- crystal system = tetragonal
- electronic total energy (eV per atom) = -2.804
- formation energy from the elements (eV/atom) = -0.12

Cell: 4.248 4.248 16.172 Å, 90.00 90.00 90.00°
Space group P4/mmm (No. 123)
Asymmetric unit:
Li 0.000 0.000 0.000
Mg 0.000 0.000 0.244
Mg 0.000 0.000 0.500
Ga 0.000 0.500 0.119
Ga 0.000 0.500 0.372
Ga 0.500 0.500 0.000
Ga 0.500 0.500 0.248
Ga 0.500 0.500 0.500

---

[2]
A relaxed K2Bi2Sb crystal, computed with PBE-GGA.

- E_form (uncorrected) (eV per formula unit) = -1.34
- spin magnetization (μB/cell) = 0.0
- ρ (g/cm³) = 5.385
- crystal system = tetragonal
- electronic total energy (eV per atom) = -3.083

Cell: 8.237 8.237 5.617 Å, 90.00 90.00 90.00°
Space group P4/mbm (No. 127)
Asymmetric unit:
K 0.175 0.325 0.000
Bi 0.131 0.631 0.500
Sb 0.000 0.000 0.500

---

[3]
A relaxed HfScI2O crystal, computed with PBE-GGA.

- E_form (uncorrected) (eV per formula unit) = -4.38
- spin magnetization (μB/cell) = 1.4
- energy relative to the lowest polymorph listed for this composition (meV per atom) = 0.0
- ρ (g/cm³) = 6.046
- crystal system = tetragonal
- electronic total energy (eV per atom) = -5.745

Cell: 5.875 5.875 3.925 Å, 90.00 90.00 90.00°
Space group P4/mmm (No. 123)
Asymmetric unit:
Hf 0.000 0.000 0.000
Sc 0.500 0.500 0.500
I 0.000 0.500 0.000
O 0.000 0.000 0.500

---

[4]
A relaxed RbSrFe2Cl8 crystal, computed with PBE-GGA.

- E_form (uncorrected) (eV per formula unit) = -16.87
- spin magnetization (μB/cell) = 18.0
- ρ (g/cm³) = 2.266
- crystal system = monoclinic
- electronic total energy (eV per atom) = -4.268

Cell: 10.968 7.523 10.130 Å, 90.00 94.74 90.00°
Space group C2/m (No. 12)
Asymmetric unit:
Rb 0.000 0.000 0.000
Sr 0.000 0.000 0.500
Fe 0.115 0.500 0.276
Cl 0.007 0.254 0.721
Cl 0.203 0.500 0.088
Cl 0.233 0.500 0.469

---

[5]
A relaxed ZrTi3Re2 crystal, computed with PBE-GGA.

- spin magnetization (μB/cell) = 0.0
- ρ (g/cm³) = 10.018
- crystal system = tetragonal
- electronic total energy (eV per atom) = -9.790
- formation energy from the elements (eV/atom) = -0.27

Cell: 3.159 3.159 10.089 Å, 90.00 90.00 90.00°
Space group P4/mmm (No. 123)
Asymmetric unit:
Zr 0.000 0.000 0.000
Ti 0.500 0.500 0.203
Ti 0.500 0.500 0.500
Re 0.000 0.000 0.344

---

[6]
A relaxed Nd8Ir2Pb crystal, computed with PBE-GGA.

- spin magnetization (μB/cell) = 0.0
- ρ (g/cm³) = 8.516
- crystal system = monoclinic
- electronic total energy (eV per atom) = -5.765
- formation energy from the elements (eV/atom) = -0.35

Cell: 8.920 13.786 5.686 Å, 90.00 103.21 90.00°
Space group C2/m (No. 12)
Asymmetric unit:
Nd 0.000 0.250 0.000
Nd 0.106 0.000 0.800
Nd 0.201 0.373 0.568
Ir 0.000 0.196 0.500
Pb 0.000 0.500 0.000

---

[7]
A relaxed CsPmAs2Pt4 crystal, computed with PBE-GGA.

- spin magnetization (μB/cell) = 0.0
- ρ (g/cm³) = 10.152
- crystal system = tetragonal
- electronic total energy (eV per atom) = -5.512
- formation energy from the elements (eV/atom) = -0.63

Cell: 4.079 4.079 11.874 Å, 90.00 90.00 90.00°
Space group P4/mmm (No. 123)
Asymmetric unit:
Cs 0.000 0.000 0.000
Pm 0.000 0.000 0.500
As 0.500 0.500 0.197
Pt 0.000 0.500 0.314

---

[8]
A relaxed Li4Ta3BiO12 crystal, computed with PBE-GGA.

- E_form (uncorrected) (eV per formula unit) = -43.53
- spin magnetization (μB/cell) = 6.2
- ρ (g/cm³) = 6.392
- crystal system = trigonal
- electronic total energy (eV per atom) = -7.506

Cell: 11.0236 11.0236 7.1947 Å, 90.00 90.00 120.00°
Space group R32 (No. 155, hexagonal axes)
Asymmetric unit:
Li 0.0000 0.0000 0.0000
Li 0.0000 0.4378 0.0000
Ta 0.0000 0.5516 0.5000
Bi 0.0000 0.0000 0.5000
O 0.0000 0.6061 0.0000
O 0.0000 0.8300 0.0000
O 0.0600 0.2131 0.6802

---

[9]
A relaxed BeZnAs2Br crystal, computed with PBE-GGA.

- E_form (uncorrected) (eV per formula unit) = 4.94
- spin magnetization (μB/cell) = 0.9
- energy relative to the lowest polymorph listed for this composition (meV per atom) = 559.4
- ρ (g/cm³) = 4.139
- crystal system = tetragonal
- electronic total energy (eV per atom) = -2.207

Cell: 4.823 4.823 5.245 Å, 90.00 90.00 90.00°
Space group P4/mmm (No. 123)
Asymmetric unit:
Be 0.000 0.000 0.000
Zn 0.500 0.500 0.500
As 0.000 0.500 0.500
Br 0.500 0.500 0.000

---

[10]
A relaxed Cu3IrAu crystal, computed with PBE-GGA.

- spin magnetization (μB/cell) = 0.0
- energy relative to the lowest polymorph listed for this composition (meV per atom) = 0.0
- ρ (g/cm³) = 9.718
- crystal system = cubic
- electronic total energy (eV per atom) = -3.740
- formation energy from the elements (eV/atom) = 1.15

Cell: 4.627 4.627 4.627 Å, 90.00 90.00 90.00°
Space group Pm-3m (No. 221)
Asymmetric unit:
Cu 0.000 0.000 0.500
Ir 0.000 0.000 0.000
Au 0.500 0.500 0.500

---

[11]
A relaxed Er4AlS3 crystal, computed with PBE-GGA.

- E_form (uncorrected) (eV per formula unit) = -11.93
- spin magnetization (μB/cell) = 0.0
- ρ (g/cm³) = 7.500
- crystal system = orthorhombic
- electronic total energy (eV per atom) = -5.789

Cell: 8.081 11.260 3.856 Å, 90.00 90.00 90.00°
Space group Cmmm (No. 65)
Asymmetric unit:
Er 0.000 0.249 0.000
Er 0.240 0.000 0.500
Al 0.000 0.500 0.000
S 0.000 0.000 0.000
S 0.250 0.250 0.500

---

[12]
A relaxed BaMg5Zn2 crystal, computed with PBE-GGA.

- spin magnetization (μB/cell) = 0.0
- ρ (g/cm³) = 3.193
- crystal system = orthorhombic
- electronic total energy (eV per atom) = -1.679
- formation energy from the elements (eV/atom) = -0.12

Cell: 4.491 8.282 10.897 Å, 90.00 90.00 90.00°
Space group Immm (No. 71)
Asymmetric unit:
Ba 0.000 0.000 0.000
Mg 0.000 0.185 0.343
Mg 0.000 0.500 0.000
Zn 0.000 0.500 0.252

---

[13]
A relaxed PaInGa2Br8 crystal, computed with PBE-GGA.

- E_form (uncorrected) (eV per formula unit) = -12.06
- spin magnetization (μB/cell) = 0.0
- ρ (g/cm³) = 3.783
- crystal system = triclinic
- electronic total energy (eV per atom) = -3.645

Cell: 7.029 7.482 9.386 Å, 89.94 89.91 89.35°
Space group P-1 (No. 2)
Asymmetric unit:
Pa 0.000 0.000 0.000
In 0.000 0.000 0.500
Ga 0.500 0.500 0.284
Br 0.216 0.699 0.000
Br 0.225 0.140 0.209
Br 0.226 0.140 0.790
Br 0.282 0.655 0.500